5
Lattice="6.6457 0.0000 0.0000 0.0000 6.6457 0.0000 0.0000 0.0000 6.6457" Properties=species:S:1:pos:R:3 comment="Na4U | Alexandria via LeMat-Bulk | GGA-PBE | relaxed" n_ef_per_ev_cell=18.2 space_group="No. 221" crystal_system=cubic e_form_ev_per_atom=1.36 pbc="T T T"
Na 3.3229 3.3229 0.0000
Na 3.3229 0.0000 3.3229
Na 0.0000 3.3229 3.3229
U 3.3229 3.3229 3.3229
Na 0.0000 0.0000 0.0000